1.
Entry from Alexandria via LeMat-Bulk: Cu2TcP after structural relaxation (GGA-PBE).

Values from the calculation:
- calculated formation energy (eV per atom) = 0.06
- space group = P2/m (10)
- electronic total energy (eV/cell) = -23.71

a b c (Å): 3.9814 2.8973 4.5198
angles (deg): 90.00 101.06 90.00
With the nearest neighbours (Å) after each atom.
Sites, in units of the cell vectors:
Cu  0.0000  0.0000  0.0000  4 Cu 2.46, 4 Tc 2.68, 2 P 2.71
Cu  0.5000  0.5000  0.0000  4 Cu 2.46, 4 P 2.68, 2 Tc 2.71
Tc  0.0000  0.5000  0.5000  4 P 2.46, 6 Cu 2.68-2.71
P  0.5000  0.0000  0.5000  4 Tc 2.46, 6 Cu 2.68-2.71

2.
Entry from Alexandria via LeMat-Bulk: CuTc2P2 after structural relaxation (GGA-PBE).

Values from the calculation:
- calculated formation energy (eV per atom) = -0.18
- space group = P4/mbm (127)
- excess energy over the best structure of this formula in the dataset (meV/atom) = 8.0
- electronic total energy (eV/cell) = -73.14

a b c (Å): 6.7880 6.7880 2.9567
angles (deg): 90.00 90.00 90.00
With the nearest neighbours (Å) after each atom.
Sites, in units of the cell vectors:
Cu  0.0000  0.0000  0.0000  4 Tc 2.60
Cu  0.5000  0.5000  0.0000  4 Tc 2.60
Tc  0.1459  0.3541  0.0000  6 P 2.46-2.49, 2 Cu 2.60
Tc  0.3541  0.8541  0.0000  6 P 2.46-2.49, 2 Cu 2.60
Tc  0.6459  0.1459  0.0000  6 P 2.46-2.49, 2 Cu 2.60
Tc  0.8541  0.6459  0.0000  6 P 2.46-2.49, 2 Cu 2.60
P  0.1492  0.6492  0.5000  6 Tc 2.46-2.49
P  0.3508  0.1492  0.5000  6 Tc 2.46-2.49
P  0.6492  0.8508  0.5000  6 Tc 2.46-2.49
P  0.8508  0.3508  0.5000  6 Tc 2.46-2.49

3.
Entry from Alexandria via LeMat-Bulk: CuTcP2 after structural relaxation (GGA-PBE).

Values from the calculation:
- calculated formation energy (eV per atom) = -0.09
- space group = P2/m (10)
- excess energy over the best structure of this formula in the dataset (meV/atom) = 86.9
- electronic total energy (eV/cell) = -25.64

a b c (Å): 2.9682 2.9229 6.6416
angles (deg): 90.00 102.82 90.00
With the nearest neighbours (Å) after each atom.
Sites, in units of the cell vectors:
Cu  0.0000  0.0000  0.0000  4 P 2.43
Tc  0.5000  0.0000  0.5000  8 P 2.52-2.54
P  0.1046  0.5000  0.7220  2 Cu 2.43, 4 Tc 2.52-2.54
P  0.8954  0.5000  0.2780  2 Cu 2.43, 4 Tc 2.52-2.54

4.
Entry from Alexandria via LeMat-Bulk: CuTcP2 after structural relaxation (GGA-PBE).

Values from the calculation:
- calculated formation energy (eV per atom) = -0.03
- space group = C2/m (12)
- excess energy over the best structure of this formula in the dataset (meV/atom) = 142.3
- electronic total energy (eV/cell) = -25.42

a b c (Å): 4.1235 4.1235 4.7582
angles (deg): 95.96 95.96 43.33
With the nearest neighbours (Å) after each atom.
Sites, in units of the cell vectors:
Cu  0.0000  0.0000  0.0000  2 P 2.30
Tc  0.5000  0.5000  0.5000  6 P 2.45
P  0.2258  0.2258  0.7188  1 Cu 2.30, 3 Tc 2.45
P  0.7742  0.7742  0.2812  1 Cu 2.30, 3 Tc 2.45

5.
Entry from Alexandria via LeMat-Bulk: Cu2TcP after structural relaxation (GGA-PBE).

Values from the calculation:
- calculated formation energy (eV per atom) = 0.25
- space group = Cmm2 (35)
- electronic total energy (eV/cell) = -22.97

a b c (Å): 2.7577 2.7577 7.8632
angles (deg): 90.00 90.00 114.10
With the nearest neighbours (Å) after each atom.
Sites, in units of the cell vectors:
Cu  0.0000  0.0000  0.0000  2 P 2.46, 2 Cu 2.47
Cu  0.5000  0.5000  0.2499  6 Cu 2.47-2.76, 2 Tc 2.66
Tc  0.0000  0.0000  0.5299  2 P 2.30
P  0.5000  0.5000  0.7519  2 Tc 2.30, 2 Cu 2.46

6.
Entry from Alexandria via LeMat-Bulk: CuTcP2 after structural relaxation (GGA-PBE).

Values from the calculation:
- calculated formation energy (eV per atom) = 0.33
- space group = Cmm2 (35)
- excess energy over the best structure of this formula in the dataset (meV/atom) = 502.4
- electronic total energy (eV/cell) = -23.98

a b c (Å): 2.7242 2.7242 9.3259
angles (deg): 90.00 90.00 112.07
With the nearest neighbours (Å) after each atom.
Sites, in units of the cell vectors:
Cu  0.0000  0.0000  0.0000  2 P 2.36
Tc  0.5000  0.5000  0.7581  2 P 2.32
P  0.0000  0.0000  0.5700  2 Tc 2.32
P  0.5000  0.5000  0.1931  2 Cu 2.36

7.
Entry from Alexandria via LeMat-Bulk: CuTcP3 after structural relaxation (GGA-PBE).

Values from the calculation:
- calculated formation energy (eV per atom) = 0.79
- space group = Pm-3m (221)
- excess energy over the best structure of this formula in the dataset (meV/atom) = 0.0
- electronic total energy (eV/cell) = -26.75

a b c (Å): 4.6034 4.6034 4.6034
angles (deg): 90.00 90.00 90.00
With the nearest neighbours (Å) after each atom.
Sites, in units of the cell vectors:
Cu  0.0000  0.0000  0.0000  12 P 3.26
Tc  0.5000  0.5000  0.5000  6 P 2.30
P  0.0000  0.5000  0.5000  2 Tc 2.30
P  0.5000  0.0000  0.5000  2 Tc 2.30
P  0.5000  0.5000  0.0000  2 Tc 2.30

8.
Entry from Alexandria via LeMat-Bulk: CuTcP2 after structural relaxation (GGA-PBE).

Values from the calculation:
- calculated formation energy (eV per atom) = 0.28
- space group = Cmmm (65)
- excess energy over the best structure of this formula in the dataset (meV/atom) = 459.9
- electronic total energy (eV/cell) = -24.15

a b c (Å): 2.8727 2.8727 7.7945
angles (deg): 90.00 90.00 118.10
With the nearest neighbours (Å) after each atom.
Sites, in units of the cell vectors:
Cu  0.0000  0.0000  0.0000  4 P 2.48
Tc  0.0000  0.0000  0.5000  4 P 2.41
P  0.5000  0.5000  0.2559  2 Tc 2.41, 2 Cu 2.48
P  0.5000  0.5000  0.7441  2 Tc 2.41, 2 Cu 2.48

9.
Entry from Alexandria via LeMat-Bulk: Cu2TcP after structural relaxation (GGA-PBE).

Values from the calculation:
- calculated formation energy (eV per atom) = 0.17
- space group = Cmmm (65)
- electronic total energy (eV/cell) = -23.28

a b c (Å): 4.7703 4.7703 2.6225
angles (deg): 90.00 90.00 118.83
With the nearest neighbours (Å) after each atom.
Sites, in units of the cell vectors:
Cu  0.0000  0.5000  0.0000  4 Cu 2.43-2.62
Cu  0.5000  0.0000  0.0000  4 Cu 2.43-2.62
Tc  0.0000  0.0000  0.5000  2 P 2.43, 2 Tc 2.62
P  0.5000  0.5000  0.5000  2 Tc 2.43, 2 P 2.62

10.
Entry from Alexandria via LeMat-Bulk: Cu2TcP after structural relaxation (GGA-PBE).

Values from the calculation:
- calculated formation energy (eV per atom) = 0.29
- space group = P4/mmm (123)
- electronic total energy (eV/cell) = -22.82

a b c (Å): 2.5711 2.5711 8.0671
angles (deg): 90.00 90.00 90.00
With the nearest neighbours (Å) after each atom.
Sites, in units of the cell vectors:
Cu  0.0000  0.0000  0.2474  4 Cu 2.57, 4 P 2.70, 4 Tc 2.73
Cu  0.0000  0.0000  0.7526  4 Cu 2.57, 4 P 2.70, 4 Tc 2.73
Tc  0.5000  0.5000  0.5000  4 Tc 2.57, 8 Cu 2.73
P  0.5000  0.5000  0.0000  4 P 2.57, 8 Cu 2.70

11.
Entry from Alexandria via LeMat-Bulk: Cu2TcP after structural relaxation (GGA-PBE).

Values from the calculation:
- calculated formation energy (eV per atom) = 0.18
- space group = I4/mmm (139)
- electronic total energy (eV/cell) = -23.23

a b c (Å): 4.9601 4.9601 4.9601
angles (deg): 138.96 138.96 59.43
With the nearest neighbours (Å) after each atom.
Sites, in units of the cell vectors:
Cu  0.2500  0.7500  0.5000  4 Cu 2.46
Cu  0.7500  0.2500  0.5000  4 Cu 2.46
Tc  0.0000  0.0000  0.0000  4 P 2.46
P  0.5000  0.5000  0.0000  4 Tc 2.46

12.
Entry from Alexandria via LeMat-Bulk: CuTcP2 after structural relaxation (GGA-PBE).

Values from the calculation:
- calculated formation energy (eV per atom) = -0.10
- space group = Imm2 (44)
- excess energy over the best structure of this formula in the dataset (meV/atom) = 73.2
- electronic total energy (eV/cell) = -25.69

a b c (Å): 6.2955 6.2955 6.2955
angles (deg): 152.96 149.47 41.23
With the nearest neighbours (Å) after each atom.
Sites, in units of the cell vectors:
Cu  0.0000  0.0000  0.0000  6 P 2.43-2.53
Tc  0.7656  0.2656  0.5000  6 P 2.41-2.42
P  0.3490  0.8490  0.5000  4 Tc 2.42, 2 Cu 2.43
P  0.6036  0.6036  0.0000  2 Tc 2.41, 4 Cu 2.53

13.
Entry from Alexandria via LeMat-Bulk: CuTc2P after structural relaxation (GGA-PBE).

Values from the calculation:
- calculated formation energy (eV per atom) = 0.24
- space group = F-43m (216)
- electronic total energy (eV/cell) = -29.28

a b c (Å): 4.2479 4.2479 4.2479
angles (deg): 60.00 60.00 60.00
With the nearest neighbours (Å) after each atom.
Sites, in units of the cell vectors:
Cu  0.0000  0.0000  0.0000  4 Tc 2.60, 4 P 2.60
Tc  0.5000  0.5000  0.5000  4 Tc 2.60, 4 P 2.60
Tc  0.7500  0.7500  0.7500  4 Tc 2.60, 4 Cu 2.60
P  0.2500  0.2500  0.2500  4 Tc 2.60, 4 Cu 2.60

14.
Entry from Alexandria via LeMat-Bulk: CuTc2P after structural relaxation (GGA-PBE).

Values from the calculation:
- calculated formation energy (eV per atom) = -0.02
- space group = P4/mmm (123)
- electronic total energy (eV/cell) = -30.32

a b c (Å): 4.1797 4.1797 2.9468
angles (deg): 90.00 90.00 90.00
With the nearest neighbours (Å) after each atom.
Sites, in units of the cell vectors:
Cu  0.0000  0.0000  0.0000  8 Tc 2.56
Tc  0.0000  0.5000  0.5000  4 Cu 2.56, 4 P 2.56
Tc  0.5000  0.0000  0.5000  4 Cu 2.56, 4 P 2.56
P  0.5000  0.5000  0.0000  8 Tc 2.56

15.
Entry from Alexandria via LeMat-Bulk: Cu4TcP after structural relaxation (GGA-PBE).

Values from the calculation:
- calculated formation energy (eV per atom) = 0.44
- space group = F-43m (216)
- electronic total energy (eV/cell) = -29.52

a b c (Å): 4.8018 4.8018 4.8018
angles (deg): 60.00 60.00 60.00
With the nearest neighbours (Å) after each atom.
Sites, in units of the cell vectors:
Cu  0.1252  0.1252  0.1252  6 Cu 2.40
Cu  0.1252  0.1252  0.6245  6 Cu 2.40
Cu  0.1252  0.6245  0.1252  6 Cu 2.40
Cu  0.6245  0.1252  0.1252  6 Cu 2.40
Tc  0.5000  0.5000  0.5000  12 Cu 2.82, 4 P 2.94
P  0.7500  0.7500  0.7500  12 Cu 2.82, 4 Tc 2.94

16.
Entry from Alexandria via LeMat-Bulk: Cu2TcP after structural relaxation (GGA-PBE).

Values from the calculation:
- calculated formation energy (eV per atom) = -0.03
- space group = Cm (8)
- electronic total energy (eV/cell) = -24.09

a b c (Å): 4.4870 4.4870 4.5430
angles (deg): 110.33 110.33 37.98
With the nearest neighbours (Å) after each atom.
Sites, in units of the cell vectors:
Cu  0.0000  0.0000  0.0000  3 Cu 2.39-2.54, 2 P 2.55
Cu  0.2372  0.2372  0.8341  3 Cu 2.39-2.54, 2 P 2.40
Tc  0.4461  0.4461  0.4557  3 P 2.35-2.43
P  0.7210  0.7210  0.4033  3 Tc 2.35-2.43, 4 Cu 2.40-2.55

17.
Entry from Alexandria via LeMat-Bulk: Cu2TcP after structural relaxation (GGA-PBE).

Values from the calculation:
- calculated formation energy (eV per atom) = 0.11
- space group = F-43m (216)
- electronic total energy (eV/cell) = -23.52

a b c (Å): 4.1427 4.1427 4.1427
angles (deg): 60.00 60.00 60.00
With the nearest neighbours (Å) after each atom.
Sites, in units of the cell vectors:
Cu  0.0000  0.0000  0.0000  4 Tc 2.54, 4 Cu 2.54
Cu  0.2500  0.2500  0.2500  4 Cu 2.54, 4 P 2.54
Tc  0.7500  0.7500  0.7500  4 Cu 2.54, 4 P 2.54
P  0.5000  0.5000  0.5000  4 Tc 2.54, 4 Cu 2.54

18.
Entry from Alexandria via LeMat-Bulk: Cu2TcP after structural relaxation (GGA-PBE).

Values from the calculation:
- calculated formation energy (eV per atom) = 0.01
- space group = Immm (71)
- electronic total energy (eV/cell) = -23.95

a b c (Å): 5.1243 5.1243 5.1243
angles (deg): 148.35 133.78 57.10
With the nearest neighbours (Å) after each atom.
Sites, in units of the cell vectors:
Cu  0.2231  0.2231  0.0000  2 P 2.45, 4 Cu 2.50
Cu  0.7769  0.7769  0.0000  2 P 2.45, 4 Cu 2.50
Tc  0.5000  0.0000  0.5000  4 P 2.45
P  0.0000  0.5000  0.5000  4 Cu 2.45, 4 Tc 2.45

19.
Entry from Alexandria via LeMat-Bulk: CuTc2P after structural relaxation (GGA-PBE).

Values from the calculation:
- calculated formation energy (eV per atom) = 0.23
- space group = Cmmm (65)
- electronic total energy (eV/cell) = -29.33

a b c (Å): 2.7731 2.7731 8.0041
angles (deg): 90.00 90.00 115.30
With the nearest neighbours (Å) after each atom.
Sites, in units of the cell vectors:
Cu  0.0000  0.0000  0.0000  4 Tc 2.65, 6 Cu 2.77-2.97
Tc  0.5000  0.5000  0.2747  2 P 2.34
Tc  0.5000  0.5000  0.7253  2 P 2.34
P  0.0000  0.0000  0.5000  4 Tc 2.34

20.
Entry from Alexandria via LeMat-Bulk: CuTcP2 after structural relaxation (GGA-PBE).

Values from the calculation:
- calculated formation energy (eV per atom) = -0.02
- space group = P4mm (99)
- excess energy over the best structure of this formula in the dataset (meV/atom) = 155.4
- electronic total energy (eV/cell) = -25.37

a b c (Å): 3.2914 3.2914 4.9972
angles (deg): 90.00 90.00 90.00
With the nearest neighbours (Å) after each atom.
Sites, in units of the cell vectors:
Cu  0.0000  0.0000  0.0000  6 P 2.41-2.56
Tc  0.5000  0.5000  0.6485  6 P 2.39-2.61
P  0.0000  0.0000  0.4872  2 Cu 2.43-2.56, 4 Tc 2.46
P  0.5000  0.5000  0.1271  2 Tc 2.39-2.61, 4 Cu 2.41